(1)
Material: BaNa2Nb
Method: DFT, PBE
State: optimized geometry

Unit cell a=9.4730 b=9.4730 c=6.8610 alpha=90.00 beta=90.00 gamma=90.00
Space group I-42d (No. 122)
One atom of each set of equivalent atoms:
Ba 0.0000 0.0000 0.0000 x4
Na 0.2093 0.2500 0.6250 x8
Nb 0.0000 0.0000 0.5000 x4

- Fermi-level density of states: 14.282 states/eV/cell
- ΔE to the lowest computed polymorph: 133 meV/atom
- Formation energy from the elements: 4.1 eV/f.u.

(2)
Material: BaNa2Nb
Method: DFT, PBE
State: optimized geometry

Unit cell a=8.2093 b=8.2093 c=8.2093 alpha=90.00 beta=90.00 gamma=90.00
Space group Fm-3m (No. 225)
One atom of each set of equivalent atoms:
Ba 0.0000 0.0000 0.0000 x4
Na 0.2500 0.2500 0.2500 x8
Nb 0.0000 0.0000 0.5000 x4

- Fermi-level density of states: 11.682 states/eV/cell
- ΔE to the lowest computed polymorph: 0 meV/atom
- Formation energy from the elements: 3.5 eV/f.u.